The following is a PBE+U calculation of an optimized crystal structure of TaMo2O, from the Alexandria database.

Cell lengths 7.2800, 7.2800, 5.6134 Å; angles 49.57, 49.57, 90.00 degrees
Sites, in units of the cell vectors:
Mo1 0.5176 0.1250 0.2500
Mo2 0.2324 0.6250 0.2500
Mo3 0.3750 0.4824 0.7500
Mo4 0.8750 0.7676 0.7500
O1 0.5000 0.5000 0.0000
O2 0.2500 0.7500 0.5000
Ta1 0.0000 0.0000 0.0000
Ta2 0.7500 0.2500 0.5000

Output
For the total energy, the calculation gives -7.29 eV per atom. The spin magnetization is 0.0 μB/cell.